No. 1
The following is a PBE-GGA calculation of a geometry-optimized Rb2PaHgSe4 structure, from the Alexandria database.

Values from the calculation:
* uncorrected formation energy: -938 meV/atom
* total magnetization: 7.661 μB/cell

Lattice parameters (Å, degrees): 6.6415 15.0268 25.5628 90.00 90.00 90.00
Last column: nearest neighbours and their distance in Å.
Space group Fddd (No. 70, origin choice 2)
Inequivalent atoms, fractional coordinates:
Rb 0.1250 0.1250 0.3071 (multiplicity 16)  8 Se 3.83-4.01
Pa 0.1250 0.1250 0.1250 (multiplicity 8)  4 Se 2.70
Hg 0.1250 0.1250 0.6250 (multiplicity 8)  4 Se 2.77
Se 0.1162 0.2670 0.4314 (multiplicity 32)  1 Pa 2.70, 1 Hg 2.77

***

No. 2
The following is a PBE-GGA calculation of a geometry-optimized RbPaHgSe3 structure, from the Alexandria database.

Values from the calculation:
* uncorrected formation energy: -978 meV/atom
* total magnetization: 0.000 μB/cell

Lattice parameters (Å, degrees): 7.0199 18.8838 7.2439 90.00 109.62 90.00
Last column: nearest neighbours and their distance in Å.
Space group C2/c (No. 15)
Inequivalent atoms, fractional coordinates:
Rb 0.0000 0.2131 0.2500 (multiplicity 4)  6 Se 3.64-3.93, 2 Hg 3.93
Pa 0.0000 0.0534 0.7500 (multiplicity 4)  5 Se 2.64-2.76
Hg 0.0000 0.3807 0.7500 (multiplicity 4)  5 Se 3.41-3.67
Se 0.0000 0.1934 0.7500 (multiplicity 4)  1 Pa 2.64
Se 0.2368 0.0422 0.5151 (multiplicity 8)  2 Pa 2.75-2.76

***

Q: Which value of total magnetization does entry 2 give?
A: 0.000 μB/cell